Record 1
Material: Pr2SnPd7
Method: DFT, PBE
State: optimized geometry

The structure belongs to space group Fm-3m (No. 225); the cell edges are 9.8555, 9.8555 and 9.8555 Å and the angles 90.00°, 90.00° and 90.00°. The inequivalent atoms are Pr at (0.2500, 0.2500, 0.2500), Sn at (0.0000, 0.0000, 0.0000), Pd at (0.0000, 0.0000, 0.2490) and Pd at (0.0000, 0.0000, 0.5000).

For the size of the total moment, the calculation gives 0.0 μB/cell. Its total energy is -5.04 eV/atom.

---

Record 2
Material: PrSn2Pd3
Method: DFT, PBE
State: optimized geometry

The structure belongs to space group C2/m (No. 12); the cell edges are 17.7953, 4.3607 and 10.4591 Å and the angles 90.00°, 109.15° and 90.00°. The inequivalent atoms are Pr at (0.0000, 0.0000, 0.0000), Pr at (0.1554, 0.0000, 0.7005), Sn at (0.0366, 0.5000, 0.7831), Sn at (0.1387, 0.5000, 0.4541), Sn at (0.1969, 0.0000, 0.1287), Pd at (0.0000, 0.5000, 0.5000), Pd at (0.0418, 0.0000, 0.3425), Pd at (0.1176, 0.5000, 0.1889), Pd at (0.1821, 0.5000, 0.9670) and Pd at (0.2125, 0.0000, 0.3911).

For the size of the total moment, the calculation gives 0.0 μB/cell. Its total energy is -5.45 eV/atom.